YAlS: relaxed, GGA-PBE.

a = 3.5841 Å, b = 3.5841 Å, c = 5.4251 Å
α = 90.00°, β = 90.00°, γ = 90.00°
Sites, in units of the cell vectors:
Y1 0.0000 0.0000 0.0000
Al1 0.5000 0.5000 0.6358
S1 0.5000 0.5000 0.1997

Summary:
SG ... P4mm, No. 99
Excess energy over the best structure of this formula in the dataset ... 150 meV per atom
Energy relative to the elements, uncorrected ... -1.01 eV per atom
Density ... 3.525 g cm⁻³

YAlS: relaxed, GGA-PBE.

a = 8.8056 Å, b = 8.8056 Å, c = 8.8056 Å
α = 29.03°, β = 29.03°, γ = 29.03°
Sites, in units of the cell vectors:
Y1 0.0920 0.0920 0.0920
Y2 0.9080 0.9080 0.9080
Al1 0.3354 0.3354 0.3354
Al2 0.6646 0.6646 0.6646
S1 0.2069 0.2069 0.2069
S2 0.7931 0.7931 0.7931

Summary:
SG ... R-3m, No. 166
Excess energy over the best structure of this formula in the dataset ... 85 meV per atom
Energy relative to the elements, uncorrected ... -1.08 eV per atom
Density ... 3.455 g cm⁻³

Y2AlS: relaxed, GGA-PBE.

a = 8.2221 Å, b = 8.2221 Å, c = 8.2221 Å
α = 26.41°, β = 26.41°, γ = 26.41°
Sites, in units of the cell vectors:
Y1 0.0000 0.0000 0.0000
Y2 0.1924 0.1924 0.1924
Al1 0.4294 0.4294 0.4294
S1 0.5973 0.5973 0.5973

Summary:
SG ... R3m, No. 160
Excess energy over the best structure of this formula in the dataset ... 154 meV per atom
Energy relative to the elements, uncorrected ... -1.08 eV per atom
Density ... 4.059 g cm⁻³

Y4AlS3: relaxed, GGA-PBE.

a = 7.0112 Å, b = 7.0112 Å, c = 3.9113 Å
α = 90.00°, β = 90.00°, γ = 108.76°
Sites, in units of the cell vectors:
Y1 0.2403 0.2403 0.5000
Y2 0.2485 0.7515 0.0000
Y3 0.7515 0.2485 0.0000
Y4 0.7597 0.7597 0.5000
Al1 0.5000 0.5000 0.0000
S1 0.0000 0.0000 0.0000
S2 0.0000 0.5000 0.5000
S3 0.5000 0.0000 0.5000

Summary:
SG ... Cmmm, No. 65
Energy relative to the elements, uncorrected ... -1.54 eV per atom
Density ... 4.367 g cm⁻³